Crystalline ZrTi5Re4 at its relaxed geometry. Source: the Alexandria database, functional PBE.

a = 3.1381 Å, b = 3.1381 Å, c = 16.4022 Å
α = 90.00°, β = 90.00°, γ = 90.00°
With the nearest neighbours (Å) after each atom.
Space group P4/mmm (No. 123)
Inequivalent atoms, fractional coordinates:
Zr 0.0000 0.0000 0.0000 x1  8 Ti 3.05, 4 Zr 3.14
Ti 0.5000 0.5000 0.1276 x2  4 Re 2.64
Ti 0.5000 0.5000 0.3114 x2  8 Re 2.71-2.73, 1 Ti 3.01
Ti 0.5000 0.5000 0.5000 x1  8 Re 2.70
Re 0.0000 0.0000 0.2147 x2  8 Ti 2.64-2.73
Re 0.0000 0.0000 0.4058 x2  8 Ti 2.70-2.71

## Properties
Size of the total moment = 0.000 μB/cell
E_form = -0.31 eV/atom